Computed, not measured: AlCdBS2 after structural relaxation at the PBE level of DFT.

DFT total energy (eV per atom): -2.44
Formation energy from raw total energies (meV per atom): 1481.7
Volume (Å³/cell): 130.63
Crystal system: tetragonal

Geometry as CIF:
```
data_AlCdBS2
_chemical_formula_sum 'Al1 Cd1 B1 S2'
_symmetry_space_group_name_H-M 'P 4/m m m'
_symmetry_Int_Tables_number 123
_symmetry_space_group_name_Hall '-P 4 2'
_cell_length_a 5.0314
_cell_length_b 5.0314
_cell_length_c 5.1602
_cell_angle_alpha 90.00
_cell_angle_beta 90.00
_cell_angle_gamma 90.00
loop_
_atom_site_label
_atom_site_type_symbol
_atom_site_fract_x
_atom_site_fract_y
_atom_site_fract_z
_atom_site_occupancy
Al1 Al 0.0000 0.0000 0.0000 1
Cd1 Cd 0.0000 0.0000 0.5000 1
B1 B 0.5000 0.5000 0.0000 1
S1 S 0.0000 0.5000 0.5000 1
```